No. 1
{"formula": "Sm12Tl5Rh2", "functional": "PBE", "state": "optimized geometry", "spacegroup": "C2/m", "lattice": [[8.617, -3.926, 0.000], [8.617, 3.926, 0.000], [-2.716, 0.000, 9.520]], "species": ["Sm", "Sm", "Sm", "Sm", "Sm", "Sm", "Sm", "Sm", "Sm", "Sm", "Sm", "Sm", "Tl", "Tl", "Tl", "Tl", "Tl", "Rh", "Rh"], "fractional_positions": [[0.001, 0.001, 0.236], [0.074, 0.600, 0.908], [0.102, 0.597, 0.426], [0.400, 0.926, 0.092], [0.403, 0.898, 0.574], [0.486, 0.486, 0.175], [0.514, 0.514, 0.825], [0.597, 0.102, 0.426], [0.600, 0.074, 0.908], [0.898, 0.403, 0.574], [0.926, 0.400, 0.092], [0.999, 0.999, 0.764], [0.191, 0.191, 0.840], [0.198, 0.198, 0.365], [0.500, 0.500, 0.500], [0.802, 0.802, 0.635], [0.809, 0.809, 0.160], [0.215, 0.785, 0.000], [0.785, 0.215, 0.000]]}



No. 2
{"formula": "K3Sm2HfO6", "functional": "PBE", "state": "optimized geometry", "spacegroup": "C2/m", "formation_energy_uncorrected_ev_per_atom": -2.58, "lattice": [[3.018, -5.231, 0.000], [3.018, 5.231, 0.000], [-2.011, 0.000, 6.299]], "species": ["K", "K", "K", "Sm", "Sm", "Hf", "O", "O", "O", "O", "O", "O"], "fractional_positions": [[0.000, 0.000, 0.000], [0.335, 0.665, 0.000], [0.665, 0.335, 0.000], [0.167, 0.833, 0.500], [0.833, 0.167, 0.500], [0.500, 0.500, 0.500], [0.137, 0.439, 0.318], [0.259, 0.259, 0.682], [0.439, 0.137, 0.318], [0.561, 0.863, 0.682], [0.741, 0.741, 0.318], [0.863, 0.561, 0.682]]}



No. 3
{"formula": "Ce3Tl3CdSe8", "functional": "PBE", "state": "optimized geometry", "spacegroup": "R-3m", "formation_energy_uncorrected_ev_per_atom": -1.15, "lattice": [[4.219, 2.436, 7.748], [-4.219, 2.436, 7.748], [0.000, -4.872, 7.748]], "species": ["Ce", "Ce", "Ce", "Tl", "Tl", "Tl", "Cd", "Se", "Se", "Se", "Se", "Se", "Se", "Se", "Se"], "fractional_positions": [[0.000, 0.500, 0.500], [0.500, 0.000, 0.500], [0.500, 0.500, 0.000], [0.000, 0.000, 0.500], [0.000, 0.500, 0.000], [0.500, 0.000, 0.000], [0.000, 0.000, 0.000], [0.237, 0.237, 0.731], [0.237, 0.731, 0.237], [0.264, 0.264, 0.264], [0.269, 0.763, 0.763], [0.731, 0.237, 0.237], [0.736, 0.736, 0.736], [0.763, 0.269, 0.763], [0.763, 0.763, 0.269]]}



No. 4
{"formula": "CeThCN", "functional": "PBE", "state": "optimized geometry", "spacegroup": "P4/mmm", "relative_energy_ev_per_atom": 0.000, "formation_energy_uncorrected_ev_per_atom": -0.86, "lattice": [[3.710, 0.000, 0.000], [0.000, 3.710, 0.000], [0.000, 0.000, 5.156]], "species": ["Ce", "Th", "C", "N"], "fractional_positions": [[0.000, 0.000, 0.000], [0.500, 0.500, 0.500], [0.000, 0.000, 0.500], [0.500, 0.500, 0.000]]}



No. 5
{"formula": "In3RePd", "functional": "PBE", "state": "optimized geometry", "spacegroup": "Pm-3m", "relative_energy_ev_per_atom": 0.000, "lattice": [[5.163, 0.000, 0.000], [0.000, 5.163, 0.000], [0.000, 0.000, 5.163]], "species": ["In", "In", "In", "Re", "Pd"], "fractional_positions": [[0.000, 0.000, 0.500], [0.000, 0.500, 0.000], [0.500, 0.000, 0.000], [0.000, 0.000, 0.000], [0.500, 0.500, 0.500]]}



No. 6
{"formula": "BeSiIO2", "functional": "PBE", "state": "optimized geometry", "spacegroup": "P4/mmm", "relative_energy_ev_per_atom": 0.699, "formation_energy_uncorrected_ev_per_atom": 0.05, "lattice": [[3.740, 0.000, 0.000], [0.000, 3.740, 0.000], [0.000, 0.000, 5.136]], "species": ["Be", "Si", "I", "O", "O"], "fractional_positions": [[0.000, 0.000, 0.000], [0.500, 0.500, 0.500], [0.000, 0.000, 0.500], [0.000, 0.500, 0.000], [0.500, 0.000, 0.000]]}



No. 7
{"formula": "Na3HgP", "functional": "PBE", "state": "optimized geometry", "spacegroup": "Ima2", "relative_energy_ev_per_atom": 0.005, "lattice": [[-4.430, 4.045, 4.108], [4.430, -4.045, 4.108], [4.430, 4.045, -4.108]], "species": ["Na", "Na", "Na", "Na", "Na", "Na", "Hg", "Hg", "P", "P"], "fractional_positions": [[0.192, 0.059, 0.251], [0.192, 0.441, 0.633], [0.588, 0.937, 0.151], [0.786, 0.437, 0.849], [0.808, 0.559, 0.367], [0.808, 0.941, 0.749], [0.308, 0.075, 0.733], [0.342, 0.575, 0.267], [0.122, 0.775, 0.847], [0.927, 0.275, 0.153]]}



No. 8
{"formula": "YIn6Ag6", "functional": "PBE", "state": "optimized geometry", "spacegroup": "Immm", "lattice": [[-2.932, 4.843, 4.909], [2.932, -4.843, 4.909], [2.932, 4.843, -4.909]], "species": ["Y", "In", "In", "In", "In", "In", "In", "Ag", "Ag", "Ag", "Ag", "Ag", "Ag"], "fractional_positions": [[0.000, 0.000, 0.000], [0.179, 0.679, 0.500], [0.341, 0.341, 0.000], [0.345, 0.000, 0.345], [0.655, 0.000, 0.655], [0.659, 0.659, 0.000], [0.821, 0.321, 0.500], [0.000, 0.000, 0.500], [0.000, 0.500, 0.000], [0.238, 0.500, 0.738], [0.500, 0.000, 0.000], [0.500, 0.500, 0.500], [0.762, 0.500, 0.262]]}



No. 9
{"formula": "Cs2KZr3S8", "functional": "PBE", "state": "optimized geometry", "spacegroup": "R3m", "formation_energy_uncorrected_ev_per_atom": -1.32, "lattice": [[3.852, 2.224, 8.309], [-3.852, 2.224, 8.309], [0.000, -4.448, 8.309]], "species": ["Cs", "Cs", "K", "Zr", "Zr", "Zr", "S", "S", "S", "S", "S", "S", "S", "S"], "fractional_positions": [[0.000, 0.000, 0.000], [0.355, 0.355, 0.355], [0.632, 0.632, 0.632], [0.499, 0.998, 0.998], [0.998, 0.499, 0.998], [0.998, 0.998, 0.499], [0.197, 0.735, 0.735], [0.222, 0.222, 0.222], [0.266, 0.266, 0.801], [0.266, 0.801, 0.266], [0.735, 0.197, 0.735], [0.735, 0.735, 0.197], [0.772, 0.772, 0.772], [0.801, 0.266, 0.266]]}



No. 10
{"formula": "Dy12Cu6Os", "functional": "PBE", "state": "optimized geometry", "spacegroup": "R-3", "lattice": [[6.124, 3.536, 3.986], [-6.124, 3.536, 3.986], [0.000, -7.072, 3.986]], "species": ["Dy", "Dy", "Dy", "Dy", "Dy", "Dy", "Dy", "Dy", "Dy", "Dy", "Dy", "Dy", "Cu", "Cu", "Cu", "Cu", "Cu", "Cu", "Os"], "fractional_positions": [[0.036, 0.678, 0.914], [0.086, 0.964, 0.322], [0.190, 0.416, 0.568], [0.322, 0.086, 0.964], [0.416, 0.568, 0.190], [0.432, 0.810, 0.584], [0.568, 0.190, 0.416], [0.584, 0.432, 0.810], [0.678, 0.914, 0.036], [0.810, 0.584, 0.432], [0.914, 0.036, 0.678], [0.964, 0.322, 0.086], [0.129, 0.625, 0.315], [0.315, 0.129, 0.625], [0.375, 0.685, 0.871], [0.625, 0.315, 0.129], [0.685, 0.871, 0.375], [0.871, 0.375, 0.685], [0.000, 0.000, 0.000]]}



No. 11
{"formula": "Li3Ag3Hg", "functional": "PBE", "state": "optimized geometry", "spacegroup": "P2_13", "relative_energy_ev_per_atom": 0.000, "lattice": [[7.926, 0.000, 0.000], [0.000, 7.926, 0.000], [0.000, 0.000, 7.926]], "species": ["Li", "Li", "Li", "Li", "Li", "Li", "Li", "Li", "Li", "Li", "Li", "Li", "Ag", "Ag", "Ag", "Ag", "Ag", "Ag", "Ag", "Ag", "Ag", "Ag", "Ag", "Ag", "Hg", "Hg", "Hg", "Hg"], "fractional_positions": [[0.050, 0.238, 0.877], [0.123, 0.550, 0.262], [0.238, 0.877, 0.050], [0.262, 0.123, 0.550], [0.377, 0.450, 0.762], [0.450, 0.762, 0.377], [0.550, 0.262, 0.123], [0.623, 0.950, 0.738], [0.738, 0.623, 0.950], [0.762, 0.377, 0.450], [0.877, 0.050, 0.238], [0.950, 0.738, 0.623], [0.084, 0.584, 0.916], [0.127, 0.873, 0.373], [0.199, 0.199, 0.199], [0.301, 0.801, 0.699], [0.373, 0.127, 0.873], [0.416, 0.416, 0.416], [0.584, 0.916, 0.084], [0.627, 0.627, 0.627], [0.699, 0.301, 0.801], [0.801, 0.699, 0.301], [0.873, 0.373, 0.127], [0.916, 0.084, 0.584], [0.078, 0.422, 0.578], [0.422, 0.578, 0.078], [0.578, 0.078, 0.422], [0.922, 0.922, 0.922]]}



No. 12
{"formula": "Al2NiSb2", "functional": "PBE", "state": "optimized geometry", "spacegroup": "I4/mmm", "relative_energy_ev_per_atom": 0.184, "formation_energy_uncorrected_ev_per_atom": 0.37, "lattice": [[-2.778, 2.778, 3.587], [2.778, -2.778, 3.587], [2.778, 2.778, -3.587]], "species": ["Al", "Al", "Ni", "Sb", "Sb"], "fractional_positions": [[0.174, 0.174, 0.000], [0.826, 0.826, 0.000], [0.500, 0.500, 0.000], [0.250, 0.750, 0.500], [0.750, 0.250, 0.500]]}



No. 13
{"formula": "CaNdHg5", "functional": "PBE", "state": "optimized geometry", "spacegroup": "Cmmm", "lattice": [[3.716, -3.743, 0.000], [3.716, 3.743, 0.000], [0.000, 0.000, 7.067]], "species": ["Ca", "Nd", "Hg", "Hg", "Hg", "Hg", "Hg"], "fractional_positions": [[0.000, 0.000, 0.000], [0.500, 0.500, 0.500], [0.000, 0.500, 0.263], [0.000, 0.500, 0.737], [0.500, 0.000, 0.263], [0.500, 0.000, 0.737], [0.500, 0.500, 0.000]]}



No. 14
{"formula": "La2InAsOs", "functional": "PBE", "state": "optimized geometry", "spacegroup": "P4/mmm", "lattice": [[5.751, 0.000, 0.000], [0.000, 5.751, 0.000], [0.000, 0.000, 4.541]], "species": ["La", "La", "In", "As", "Os"], "fractional_positions": [[0.000, 0.500, 0.000], [0.500, 0.000, 0.000], [0.000, 0.000, 0.500], [0.500, 0.500, 0.000], [0.500, 0.500, 0.500]]}



No. 15
{"formula": "Mn2RhSe", "functional": "PBE", "state": "optimized geometry", "spacegroup": "I4/mmm", "formation_energy_uncorrected_ev_per_atom": 0.09, "lattice": [[-1.984, 1.984, 3.841], [1.984, -1.984, 3.841], [1.984, 1.984, -3.841]], "species": ["Mn", "Mn", "Rh", "Se"], "fractional_positions": [[0.250, 0.750, 0.500], [0.750, 0.250, 0.500], [0.000, 0.000, 0.000], [0.500, 0.500, 0.000]]}



No. 16
{"formula": "TbHoCuRh", "functional": "PBE", "state": "optimized geometry", "spacegroup": "Amm2", "relative_energy_ev_per_atom": 0.000, "lattice": [[4.381, 0.000, 0.000], [0.000, 1.885, 5.182], [0.000, -1.885, 5.182]], "species": ["Tb", "Ho", "Cu", "Rh"], "fractional_positions": [[0.000, 0.000, 0.000], [0.500, 0.278, 0.278], [0.500, 0.565, 0.565], [0.000, 0.722, 0.722]]}



No. 17
{"formula": "TlReP2", "functional": "PBE", "state": "optimized geometry", "spacegroup": "C2/m", "relative_energy_ev_per_atom": 0.139, "lattice": [[3.694, -1.589, 0.000], [3.694, 1.589, 0.000], [-1.237, 0.000, 6.904]], "species": ["Tl", "Re", "P", "P"], "fractional_positions": [[0.000, 0.000, 0.000], [0.500, 0.500, 0.500], [0.228, 0.228, 0.651], [0.772, 0.772, 0.349]]}



No. 18
{"formula": "Ba4AgPdI2", "functional": "PBE", "state": "optimized geometry", "spacegroup": "P2/m", "formation_energy_uncorrected_ev_per_atom": -0.89, "lattice": [[8.205, 0.000, 0.000], [0.000, 4.722, 0.000], [-2.714, 0.000, 8.870]], "species": ["Ba", "Ba", "Ba", "Ba", "Ag", "Pd", "I", "I"], "fractional_positions": [[0.225, 0.000, 0.205], [0.252, 0.500, 0.789], [0.748, 0.500, 0.211], [0.775, 0.000, 0.795], [0.500, 0.000, 0.000], [0.000, 0.500, 0.000], [0.000, 0.000, 0.500], [0.500, 0.500, 0.500]]}



No. 19
{"formula": "ZrAl3Pd", "functional": "PBE", "state": "optimized geometry", "spacegroup": "Pm-3m", "relative_energy_ev_per_atom": 0.000, "lattice": [[4.657, 0.000, 0.000], [0.000, 4.657, 0.000], [0.000, 0.000, 4.657]], "species": ["Zr", "Al", "Al", "Al", "Pd"], "fractional_positions": [[0.000, 0.000, 0.000], [0.000, 0.500, 0.500], [0.500, 0.000, 0.500], [0.500, 0.500, 0.000], [0.500, 0.500, 0.500]]}



No. 20
{"formula": "BRuNO2", "functional": "PBE", "state": "optimized geometry", "spacegroup": "P4/mmm", "formation_energy_uncorrected_ev_per_atom": 0.33, "lattice": [[3.341, 0.000, 0.000], [0.000, 3.341, 0.000], [0.000, 0.000, 3.453]], "species": ["B", "Ru", "N", "O", "O"], "fractional_positions": [[0.000, 0.000, 0.000], [0.500, 0.500, 0.500], [0.000, 0.000, 0.500], [0.000, 0.500, 0.000], [0.500, 0.000, 0.000]]}



No. 21
{"formula": "Ho2MgGa2Ni5", "functional": "PBE", "state": "optimized geometry", "spacegroup": "P4/mbm", "lattice": [[9.501, 0.000, 0.000], [0.000, 9.501, 0.000], [0.000, 0.000, 3.539]], "species": ["Ho", "Ho", "Ho", "Ho", "Mg", "Mg", "Ga", "Ga", "Ga", "Ga", "Ni", "Ni", "Ni", "Ni", "Ni", "Ni", "Ni", "Ni", "Ni", "Ni"], "fractional_positions": [[0.178, 0.322, 0.000], [0.322, 0.822, 0.000], [0.678, 0.178, 0.000], [0.822, 0.678, 0.000], [0.000, 0.000, 0.000], [0.500, 0.500, 0.000], [0.118, 0.618, 0.000], [0.382, 0.118, 0.000], [0.618, 0.882, 0.000], [0.882, 0.382, 0.000], [0.000, 0.500, 0.500], [0.062, 0.784, 0.500], [0.216, 0.062, 0.500], [0.284, 0.562, 0.500], [0.438, 0.284, 0.500], [0.500, 0.000, 0.500], [0.562, 0.716, 0.500], [0.716, 0.438, 0.500], [0.784, 0.938, 0.500], [0.938, 0.216, 0.500]]}



No. 22
{"formula": "Ca2LaPb", "functional": "PBE", "state": "optimized geometry", "spacegroup": "F-43m", "lattice": [[0.000, 4.061, 4.061], [4.061, 0.000, 4.061], [4.061, 4.061, 0.000]], "species": ["Ca", "Ca", "La", "Pb"], "fractional_positions": [[0.000, 0.000, 0.000], [0.250, 0.250, 0.250], [0.750, 0.750, 0.750], [0.500, 0.500, 0.500]]}



No. 23
{"formula": "TaInRe2", "functional": "PBE", "state": "optimized geometry", "spacegroup": "Pm", "lattice": [[2.935, 0.000, 0.000], [0.000, 4.037, 0.000], [-0.022, 0.000, 5.796]], "species": ["Ta", "In", "Re", "Re"], "fractional_positions": [[0.000, 0.000, 0.000], [0.494, 0.500, 0.718], [0.486, 0.500, 0.233], [0.993, 0.000, 0.444]]}



The evaluated calculated total energy for the records listed, in turn: -4.578, -6.949, -4.729, -8.589, -4.436, -4.073, -2.155, -3.228, -5.710, -4.788, -2.237, -3.929, -1.486, -5.789, -7.206, -5.750, -6.259, -3.243, -4.969, -6.507, -4.925, -3.368, -9.625 eV/atom.
The evaluated V for the records listed, in turn: 33.9, 16.6, 31.9, 17.7, 27.5, 14.4, 29.4, 21.4, 30.5, 27.3, 17.8, 22.1, 28.1, 30.0, 15.1, 21.4, 20.3, 43.0, 20.2, 7.7, 16.0, 33.5, 17.2 Å³ per atom.